This record from the Alexandria database describes an optimized crystal structure of La2Zn12Pd5. The functional is GGA-PBE.

Summary:
Magnetic moment (μB per atom): 0.0000
Calculated total energy (Ry/atom): -0.2300
Calculated density (g/cm³): 8.104

```
data_La2Zn12Pd5
_space_group_name_H-M_alt 'R -3 m'
_space_group_IT_number 166
_space_group_name_Hall '-R 3 2"'
_cell_length_a 9.2764
_cell_length_b 9.2764
_cell_length_c 13.1553
_cell_angle_alpha 90.00
_cell_angle_beta 90.00
_cell_angle_gamma 120.00
loop_
_atom_site_label
_atom_site_type_symbol
_atom_site_fract_x
_atom_site_fract_y
_atom_site_fract_z
_atom_site_occupancy
La1 La 0.0000 0.0000 0.1662 1
Zn1 Zn 0.0000 0.2857 0.5000 1
Zn2 Zn 0.0020 0.5010 0.3467 1
Pd1 Pd 0.0000 0.0000 0.3940 1
Pd2 Pd 0.0000 0.5000 0.0000 1
```